# 1
First-principles (PBEsol) data for a relaxed structure of Mg2SbSe, as listed in Alexandria.

Properties
Uncorrected formation energy, eV per atom: -0.65
Magnetization, μB per formula unit: 0.00
Relative energy among the computed polymorphs, eV per atom: 0.071
DOS(E_F), states/eV/atom: 0.26

Cell: 3.7964 3.7964 22.0077 Å, 90.00 90.00 120.00°
Space group R3m (No. 160, hexagonal axes)
Inequivalent atoms, fractional coordinates:
Mg1 0.0000 0.0000 0.0000
Mg2 0.0000 0.0000 0.1857
Sb1 0.0000 0.0000 0.4255
Se1 0.0000 0.0000 0.5945

---

# 2
First-principles (PBEsol) data for a relaxed structure of NiAgBr2, as listed in Alexandria.

Properties
Uncorrected formation energy, eV per atom: 0.31
Magnetization, μB per formula unit: 1.02
DOS(E_F), states/eV/atom: 0.58

Cell: 4.748 4.748 3.351 Å, 90.00 90.00 90.00°
Space group P4/mmm (No. 123)
Inequivalent atoms, fractional coordinates:
Ni1 0.000 0.000 0.000
Ag1 0.500 0.500 0.000
Br1 0.000 0.500 0.500